Computed, not measured: a relaxed Fe2Ir crystal at the PBE level of DFT.

- E_tot: -8.543 eV/atom
- Space group: No. 63
- Formation energy from the elements: 0.2 eV/f.u.
- Magnetic moment: 22.02 Bohr magnetons per cell

Geometry as POSCAR:
```
Fe2Ir
1.0
2.7715 0.0000 0.0000
0.0000 12.9272 0.0000
0.0000 0.0000 4.3695
Fe Ir
8 4
Cartesian
0.0000 0.7840 1.0924
0.0000 5.2612 1.0924
0.0000 7.6661 3.2771
0.0000 12.1433 3.2771
1.3858 1.2025 3.2771
1.3858 5.6796 3.2771
1.3858 7.2476 1.0924
1.3858 11.7248 1.0924
0.0000 3.5198 3.2771
0.0000 9.4074 1.0924
1.3858 2.9438 1.0924
1.3858 9.9834 3.2771
```

=====

Computed, not measured: a relaxed Ca2ZrPb crystal at the PBE level of DFT.

- E_tot: -4.079 eV/atom
- Space group: No. 99
- Formation energy from the elements: -0.1 eV/f.u.
- Magnetic moment: 1.96 Bohr magnetons per cell

Geometry as POSCAR:
```
Ca2ZrPb
1.0
3.9499 0.0000 0.0000
0.0000 3.9499 0.0000
0.0000 0.0000 7.9517
Ca Zr Pb
2 1 1
Cartesian
0.0000 0.0000 0.0000
1.9749 1.9749 2.6490
1.9749 1.9749 5.9569
0.0000 0.0000 4.5599
```

=====

The lowest magnetic moment belongs to which entry? Ca2ZrPb